The following is a DFT calculation (PBE) of crystalline Na3ThC4O12 at its relaxed geometry.

```
20
Lattice="-2.669 2.037 -5.578 -5.321 -0.704 3.684 2.333 5.614 2.330" Properties=species:S:1:pos:R:3 pbc="T T T"
Na -3.929 0.735 -1.177
Na -0.044 3.914 -1.427
Na -1.685 2.297 3.041
Th 0.000 0.000 0.000
C -1.560 4.785 -4.212
C -0.436 5.184 4.001
C -6.490 0.451 0.866
C -2.828 3.473 0.218
O -1.854 4.278 0.046
O -4.808 2.058 -2.911
O -3.878 2.388 3.883
O 0.200 5.973 -0.318
O -5.760 0.844 1.894
O -0.027 5.457 2.775
O -2.497 3.873 -4.030
O -6.201 0.899 -0.342
O -1.510 4.436 4.174
O -0.975 5.332 -3.162
O -3.465 3.018 -0.789
O -3.166 3.124 1.397
```

Results
Its space-group type is R32. The calculation puts the total magnetization at 1.13 μB/cell. The value obtained for the formation energy (no corrections) is -1.821 eV/atom. The calculation puts the volume at 260 Å³/cell. As for the crystal system: trigonal.